A relaxed RbNa3Tl2 crystal, computed with PBE. Values from VASP.

Cell and atoms, written as Quantum ESPRESSO input:
```
&SYSTEM
  ibrav = 0, nat = 18, ntyp = 3
/
ATOMIC_SPECIES
Rb 85.47 Rb.upf
Na 22.99 Na.upf
Tl 204.38 Tl.upf
ATOMIC_POSITIONS angstrom
Rb 0.0000 0.0000 0.0000
Rb 0.0000 6.9492 2.7039
Rb 6.0181 3.4746 2.7039
Na -1.7704 3.0663 2.7039
Na -3.0091 5.2119 0.0000
Na -4.2478 7.3574 2.7039
Na 3.5407 0.0000 2.7039
Na 1.7704 3.0663 2.7039
Na 6.0181 0.0000 0.0000
Na 3.0091 5.2119 0.0000
Na 8.4956 0.0000 2.7039
Na 4.2478 7.3574 2.7039
Tl 0.0000 3.7804 0.0000
Tl -2.7442 8.5335 0.0000
Tl 3.2739 1.8902 0.0000
Tl 2.7442 8.5335 0.0000
Tl 8.7623 1.8902 0.0000
Tl 6.0181 6.6433 0.0000
CELL_PARAMETERS angstrom
12.0363 0.0000 0.0000
-6.0181 10.4237 0.0000
0.0000 0.0000 5.4079
```

Results
- Formation energy: -1.50 kcal/mol of atoms
- Total DFT energy (no corrections): -1.674 eV/atom
- V: 678.5 Å³/cell
- Energy above the most stable polymorph in this dataset: 3.4 meV/atom
- M_tot: 0.00 μB per atom